(1)
## Ca5Cr3O13 (meta-GGA SCAN)

Data for a PBEsol-optimized structure of Ca5Cr3O13.

a = 6.8754 Å, b = 9.6975 Å, c = 9.6977 Å
α = 120.00°, β = 90.00°, γ = 90.00°
Atoms (fractional coordinates):
O (0.7500, 0.1631, 0.5018)
O (0.7500, 0.8627, 0.4737)
O (0.7500, 0.6110, 0.1372)
O (0.9456, 0.9096, 0.2576)
O (0.9456, 0.3480, 0.0904)
O (0.9456, 0.7424, 0.6520)
O (0.5544, 0.3480, 0.0904)
O (0.2500, 0.3890, 0.8628)
O (0.0544, 0.0904, 0.7424)
O (0.5544, 0.9096, 0.2576)
O (0.5544, 0.7424, 0.6520)
O (0.7500, 0.0000, 0.0000)
O (0.2500, 0.0000, 0.0000)
O (0.4456, 0.0904, 0.7424)
O (0.4456, 0.6520, 0.9096)
O (0.7500, 0.5263, 0.3890)
O (0.7500, 0.4981, 0.6612)
O (0.4456, 0.2576, 0.3480)
O (0.2500, 0.4737, 0.6110)
O (0.0544, 0.6520, 0.9096)
O (0.2500, 0.5019, 0.3388)
O (0.7500, 0.3387, 0.8369)
O (0.2500, 0.6613, 0.1631)
O (0.2500, 0.8369, 0.4982)
O (0.2500, 0.1373, 0.5263)
O (0.0544, 0.2576, 0.3480)
Ca (0.9986, 0.3333, 0.6667)
Ca (0.7500, 0.9906, 0.7737)
Ca (0.4986, 0.6667, 0.3333)
Ca (0.2500, 0.0094, 0.2263)
Ca (0.2500, 0.2169, 0.9906)
Ca (0.7500, 0.7831, 0.0094)
Ca (0.5014, 0.3333, 0.6667)
Ca (0.0014, 0.6667, 0.3333)
Ca (0.7500, 0.2263, 0.2169)
Ca (0.2500, 0.7737, 0.7831)
Cr (0.7500, 0.6235, 0.5902)
Cr (0.7500, 0.4098, 0.0333)
Cr (0.7500, 0.9667, 0.3765)
Cr (0.2500, 0.0333, 0.6235)
Cr (0.2500, 0.5902, 0.9667)
Cr (0.2500, 0.3765, 0.4098)

Results
E_form (uncorrected), meV/atom: -2711
SG: P6_3/m (176)
V, Å³ per atom: 13.3
Size of the total moment, μB per cell: 4.0



(2)
## CaCrO2 (meta-GGA SCAN)

Data for a PBEsol-optimized structure of CaCrO2.

a = 6.0690 Å, b = 6.9054 Å, c = 6.0690 Å
α = 63.93°, β = 90.00°, γ = 116.07°
Atoms (fractional coordinates):
O (0.6869, 0.8080, 0.5960)
O (0.0630, 0.6920, 0.1540)
O (0.6289, 0.6920, 0.1540)
O (0.5960, 0.1920, 0.6869)
O (0.1540, 0.3080, 0.6289)
O (0.1211, 0.8080, 0.5960)
O (0.1540, 0.3080, 0.0630)
O (0.5960, 0.1920, 0.1211)
Cr (0.8750, 0.2500, 0.8750)
Cr (0.8750, 0.7500, 0.8750)
Cr (0.8750, 0.7500, 0.3750)
Cr (0.3750, 0.2500, 0.8750)
Ca (0.8750, 0.2500, 0.3750)
Ca (0.3750, 0.7500, 0.3750)
Ca (0.3750, 0.2500, 0.3750)
Ca (0.3750, 0.7500, 0.8750)

Results
E_form (uncorrected), meV/atom: -2542
SG: I4_1/amd (141)
V, Å³ per atom: 12.5
Size of the total moment, μB per cell: 16.0



(3)
## Ca3Cr2O7 (meta-GGA SCAN)

Data for a PBEsol-optimized structure of Ca3Cr2O7.

a = 5.2161 Å, b = 5.2112 Å, c = 10.0755 Å
α = 90.00°, β = 105.00°, γ = 90.00°
Atoms (fractional coordinates):
Ca (0.9452, 0.7263, 0.3750)
Ca (0.7509, 0.7788, 0.0000)
Ca (0.0548, 0.2263, 0.6250)
Ca (0.5702, 0.7263, 0.6250)
Ca (0.2491, 0.2788, 0.0000)
Ca (0.4298, 0.2263, 0.3750)
O (0.3062, 0.7386, 0.0000)
O (0.3550, 0.4615, 0.7862)
O (0.1268, 0.0392, 0.1750)
O (0.4312, 0.9615, 0.7862)
O (0.0482, 0.5392, 0.1750)
O (0.5688, 0.4615, 0.2138)
O (0.6450, 0.9615, 0.2138)
O (0.5934, 0.2557, 0.6070)
O (0.6938, 0.2386, 0.0000)
O (0.9864, 0.2557, 0.3930)
O (0.4066, 0.7557, 0.3930)
O (0.9518, 0.0392, 0.8250)
O (0.8732, 0.5392, 0.8250)
O (0.0136, 0.7557, 0.6070)
Cr (0.8470, 0.2485, 0.1966)
Cr (0.3496, 0.7485, 0.1966)
Cr (0.6504, 0.2485, 0.8034)
Cr (0.1530, 0.7485, 0.8034)

Results
E_form (uncorrected), meV/atom: -2819
SG: Cmc2_1 (36)
V, Å³ per atom: 11.0
Size of the total moment, μB per cell: 8.0



(4)
## CaCr2O4 (meta-GGA SCAN)

Data for a PBEsol-optimized structure of CaCr2O4.

a = 2.9862 Å, b = 5.0706 Å, c = 9.8434 Å
α = 90.00°, β = 90.00°, γ = 107.13°
Atoms (fractional coordinates):
O (0.5000, 0.0000, 0.0000)
O (0.2373, 0.4746, 0.3935)
O (0.0585, 0.1170, 0.7500)
O (0.5000, 0.0000, 0.5000)
O (0.2373, 0.4746, 0.1065)
O (0.9415, 0.8830, 0.2500)
O (0.7627, 0.5254, 0.6065)
O (0.7627, 0.5254, 0.8935)
Ca (0.6113, 0.2225, 0.2500)
Ca (0.3887, 0.7775, 0.7500)
Cr (0.1359, 0.2719, 0.9304)
Cr (0.8641, 0.7281, 0.0696)
Cr (0.1359, 0.2719, 0.5696)
Cr (0.8641, 0.7281, 0.4304)

Results
E_form (uncorrected), meV/atom: -2779
SG: Cmcm (63)
V, Å³ per atom: 10.2
Energy relative to the lowest polymorph listed for this composition, eV per atom: 0.058
Size of the total moment, μB per cell: 12.0



(5)
## CaCr2O4 (meta-GGA SCAN)

Data for a PBEsol-optimized structure of CaCr2O4.

a = 6.1126 Å, b = 6.1126 Å, c = 6.1126 Å
α = 60.00°, β = 60.00°, γ = 60.00°
Atoms (fractional coordinates):
O (0.8553, 0.8553, 0.8553)
O (0.8553, 0.4341, 0.8553)
O (0.8159, 0.3947, 0.3947)
O (0.3947, 0.8159, 0.3947)
O (0.8553, 0.8553, 0.4341)
O (0.4341, 0.8553, 0.8553)
O (0.3947, 0.3947, 0.3947)
O (0.3947, 0.3947, 0.8159)
Cr (0.6250, 0.6250, 0.1250)
Cr (0.1250, 0.6250, 0.6250)
Cr (0.6250, 0.6250, 0.6250)
Cr (0.6250, 0.1250, 0.6250)
Ca (0.2500, 0.2500, 0.2500)
Ca (0.0000, 0.0000, 0.0000)

Results
E_form (uncorrected), meV/atom: -2767
SG: Fd-3m (227)
V, Å³ per atom: 11.5
Energy relative to the lowest polymorph listed for this composition, eV per atom: 0.070
Size of the total moment, μB per cell: 12.0



(6)
## CaCrP2O7 (meta-GGA SCAN)

Data for a PBEsol-optimized structure of CaCrP2O7.

a = 6.0776 Å, b = 6.4638 Å, c = 7.3130 Å
α = 81.62°, β = 88.04°, γ = 68.48°
Atoms (fractional coordinates):
O (0.0573, 0.3619, 0.7593)
O (0.2565, 0.8137, 0.1978)
O (0.9333, 0.2613, 0.0805)
O (0.6364, 0.6245, 0.4613)
O (0.1017, 0.1594, 0.4750)
O (0.3415, 0.4125, 0.1403)
O (0.8983, 0.8406, 0.5250)
O (0.3989, 0.0006, 0.7301)
O (0.7435, 0.1863, 0.8022)
O (0.3636, 0.3755, 0.5387)
O (0.6585, 0.5875, 0.8597)
O (0.0667, 0.7387, 0.9195)
O (0.6011, 0.9994, 0.2699)
O (0.9427, 0.6381, 0.2407)
P (0.7636, 0.7789, 0.3834)
P (0.1649, 0.6556, 0.1193)
P (0.2364, 0.2211, 0.6166)
P (0.8351, 0.3444, 0.8807)
Ca (0.7081, 0.2839, 0.3618)
Ca (0.2919, 0.7161, 0.6382)
Cr (0.2727, 0.1212, 0.1681)
Cr (0.7273, 0.8788, 0.8319)

Results
E_form (uncorrected), meV/atom: -2710
SG: P-1 (2)
V, Å³ per atom: 12.0
Size of the total moment, μB per cell: 8.0



(7)
## Ca9CrP7O28 (meta-GGA SCAN)

Data for a PBEsol-optimized structure of Ca9CrP7O28.

a = 10.2955 Å, b = 10.2955 Å, c = 13.6706 Å
α = 67.88°, β = 67.88°, γ = 60.00°
Atoms (fractional coordinates):
O (0.8155, 0.3854, 0.9752)
O (0.1292, 0.8882, 0.1143)
O (0.8898, 0.7310, 0.7754)
O (0.3155, 0.3240, 0.4752)
O (0.2392, 0.5955, 0.0287)
O (0.6215, 0.6147, 0.4028)
O (0.6038, 0.3494, 0.1346)
O (0.7392, 0.6366, 0.5287)
O (0.6147, 0.3610, 0.4028)
O (0.6285, 0.3614, 0.8690)
O (0.1366, 0.2392, 0.0287)
O (0.8613, 0.3324, 0.6598)
O (0.8494, 0.1038, 0.6346)
O (0.3240, 0.8854, 0.4752)
O (0.0955, 0.7392, 0.5287)
O (0.6411, 0.8614, 0.3690)
O (0.6465, 0.8324, 0.1598)
O (0.3613, 0.6465, 0.1598)
O (0.3614, 0.1411, 0.8690)
O (0.2310, 0.3898, 0.2754)
O (0.1215, 0.8610, 0.9028)
O (0.1659, 0.8836, 0.3398)
O (0.3683, 0.3882, 0.6143)
O (0.5955, 0.1366, 0.0287)
O (0.3324, 0.1465, 0.6598)
O (0.1411, 0.6285, 0.8690)
O (0.1107, 0.3836, 0.8398)
O (0.3898, 0.1039, 0.2754)
O (0.6107, 0.1659, 0.3398)
O (0.6292, 0.3683, 0.6143)
O (0.1867, 0.1867, 0.4400)
O (0.8240, 0.8155, 0.9752)
O (0.8614, 0.1285, 0.3690)
O (0.6659, 0.1107, 0.8398)
O (0.9122, 0.6038, 0.1346)
O (0.8610, 0.1147, 0.9028)
O (0.3854, 0.8240, 0.9752)
O (0.1039, 0.2310, 0.2754)
O (0.8324, 0.3613, 0.1598)
O (0.3610, 0.6215, 0.4028)
O (0.8836, 0.6107, 0.3398)
O (0.1147, 0.1215, 0.9028)
O (0.8683, 0.1292, 0.1143)
O (0.8854, 0.3155, 0.4752)
O (0.1038, 0.4122, 0.6346)
O (0.6366, 0.0955, 0.5287)
O (0.3882, 0.6292, 0.6143)
O (0.1285, 0.6411, 0.3690)
O (0.3836, 0.6659, 0.8398)
O (0.4122, 0.8494, 0.6346)
O (0.3494, 0.9122, 0.1346)
O (0.6867, 0.6867, 0.9400)
O (0.7310, 0.6039, 0.7754)
O (0.6039, 0.8898, 0.7754)
O (0.1465, 0.8613, 0.6598)
O (0.8882, 0.8683, 0.1143)
Ca (0.8429, 0.4208, 0.3018)
Ca (0.0935, 0.6441, 0.1987)
Ca (0.0461, 0.0260, 0.4795)
Ca (0.6441, 0.0637, 0.1987)
Ca (0.4208, 0.4345, 0.3018)
Ca (0.3429, 0.9345, 0.8018)
Ca (0.4484, 0.0461, 0.4795)
Ca (0.5935, 0.5637, 0.6987)
Ca (0.4345, 0.8429, 0.3018)
Ca (0.9345, 0.9208, 0.8018)
Ca (0.0637, 0.0935, 0.1987)
Ca (0.1441, 0.5935, 0.6987)
Ca (0.5260, 0.5461, 0.9795)
Ca (0.5637, 0.1441, 0.6987)
Ca (0.0260, 0.4484, 0.4795)
Ca (0.9208, 0.3429, 0.8018)
Ca (0.9484, 0.5260, 0.9795)
Ca (0.5461, 0.9484, 0.9795)
P (0.7216, 0.6864, 0.4127)
P (0.3101, 0.8157, 0.0962)
P (0.6864, 0.1792, 0.4127)
P (0.8157, 0.7780, 0.0962)
P (0.3157, 0.8101, 0.5962)
P (0.8101, 0.2780, 0.5962)
P (0.2286, 0.2286, 0.3141)
P (0.1792, 0.7216, 0.4127)
P (0.7286, 0.7286, 0.8141)
P (0.7780, 0.3101, 0.0962)
P (0.1864, 0.2216, 0.9127)
P (0.6792, 0.1864, 0.9127)
P (0.2780, 0.3157, 0.5962)
P (0.2216, 0.6792, 0.9127)
Cr (0.9979, 0.9979, 0.0064)
Cr (0.4979, 0.4979, 0.5064)

Results
E_form (uncorrected), meV/atom: -3131
SG: R3c (161)
V, Å³ per atom: 12.6
Size of the total moment, μB per cell: 5.7



(8)
## CaPrCr2O6 (meta-GGA SCAN)

Data for a PBEsol-optimized structure of CaPrCr2O6.

a = 5.3346 Å, b = 5.3834 Å, c = 7.5602 Å
α = 90.00°, β = 90.00°, γ = 90.00°
Atoms (fractional coordinates):
Pr (0.4923, 0.7140, 0.5000)
Pr (0.9923, 0.2860, 0.0000)
Cr (0.4995, 0.2489, 0.2505)
Cr (0.9995, 0.7511, 0.7505)
Cr (0.4995, 0.2489, 0.7495)
Cr (0.9995, 0.7511, 0.2495)
O (0.5765, 0.2639, 0.5000)
O (0.0765, 0.7361, 0.0000)
O (0.4310, 0.2335, 0.0000)
O (0.7121, 0.5376, 0.2095)
O (0.2121, 0.4624, 0.2905)
O (0.7842, 0.0345, 0.2134)
O (0.7842, 0.0345, 0.7866)
O (0.2121, 0.4624, 0.7095)
O (0.7121, 0.5376, 0.7905)
O (0.9310, 0.7665, 0.5000)
O (0.2842, 0.9655, 0.7134)
O (0.2842, 0.9655, 0.2866)
Ca (0.0085, 0.2086, 0.5000)
Ca (0.5085, 0.7914, 0.0000)

Results
E_form (uncorrected), meV/atom: -2989
SG: Pmn2_1 (31)
V, Å³ per atom: 10.9
Size of the total moment, μB per cell: 10.0



(9)
## RbCa2CrO (meta-GGA SCAN)

Data for a PBEsol-optimized structure of RbCa2CrO.

a = 5.7047 Å, b = 5.7047 Å, c = 6.1284 Å
α = 90.00°, β = 90.00°, γ = 90.00°
Atoms (fractional coordinates):
Ca (0.0000, 0.5000, 0.0000)
Ca (0.5000, 0.0000, 0.0000)
Rb (0.0000, 0.0000, 0.5000)
O (0.5000, 0.5000, 0.5000)
Cr (0.0000, 0.0000, 0.0000)

Results
E_form (uncorrected), meV/atom: 741
SG: P4/mmm (123)
V, Å³ per atom: 39.9
Size of the total moment, μB per cell: 6.9



(10)
## Ca2CrSbO6 (meta-GGA SCAN)

Data for a PBEsol-optimized structure of Ca2CrSbO6.

a = 5.3894 Å, b = 5.5120 Å, c = 7.6755 Å
α = 90.00°, β = 89.66°, γ = 90.00°
Atoms (fractional coordinates):
Ca (0.9870, 0.9493, 0.2491)
Ca (0.0130, 0.0507, 0.7509)
Ca (0.4870, 0.5507, 0.7491)
Ca (0.5130, 0.4493, 0.2509)
O (0.0921, 0.5276, 0.2488)
O (0.7019, 0.7057, 0.4526)
O (0.7963, 0.2050, 0.4514)
O (0.2019, 0.7943, 0.9526)
O (0.4079, 0.0276, 0.2512)
O (0.7037, 0.7050, 0.0486)
O (0.2037, 0.7950, 0.5486)
O (0.2981, 0.2943, 0.5474)
O (0.7981, 0.2057, 0.0474)
O (0.9079, 0.4724, 0.7512)
O (0.5921, 0.9724, 0.7488)
O (0.2963, 0.2950, 0.9514)
Sb (0.0000, 0.5000, 0.5000)
Sb (0.5000, 0.0000, 0.0000)
Cr (0.5000, 0.0000, 0.5000)
Cr (0.0000, 0.5000, 0.0000)

Results
E_form (uncorrected), meV/atom: -2631
SG: P2_1/c (14)
V, Å³ per atom: 11.4
Size of the total moment, μB per cell: 6.0



(11)
## Ca2CrSbO6 (meta-GGA SCAN)

Data for a PBEsol-optimized structure of Ca2CrSbO6.

a = 5.3635 Å, b = 5.5164 Å, c = 7.7418 Å
α = 90.00°, β = 90.00°, γ = 90.02°
Atoms (fractional coordinates):
O (0.5974, 0.0292, 0.7500)
O (0.4026, 0.9708, 0.2500)
O (0.6994, 0.2947, 0.0487)
O (0.2021, 0.2011, 0.5481)
O (0.9129, 0.5264, 0.7500)
O (0.2021, 0.2011, 0.9519)
O (0.3006, 0.7053, 0.9513)
O (0.0871, 0.4736, 0.2500)
O (0.6994, 0.2947, 0.4513)
O (0.3006, 0.7053, 0.5487)
O (0.7979, 0.7989, 0.0481)
O (0.7979, 0.7989, 0.4519)
Cr (0.0000, 0.5000, 0.5000)
Cr (0.0000, 0.5000, 0.0000)
Sb (0.5000, 0.0000, 0.5000)
Sb (0.5000, 0.0000, 0.0000)
Ca (0.0161, 0.9326, 0.7500)
Ca (0.4931, 0.4582, 0.7500)
Ca (0.5069, 0.5418, 0.2500)
Ca (0.9839, 0.0674, 0.2500)

Results
E_form (uncorrected), meV/atom: -2601
SG: P2_1/m (11)
V, Å³ per atom: 11.5
Size of the total moment, μB per cell: 6.0